Entry from Alexandria via LeMat-Bulk: a relaxed structure of TlIrRu2 (PBE).

Summary:
Density of states at the Fermi level: 8.7 states/eV/cell
Energy relative to the elements: 44.5 kJ per mole of atoms

Cell and atoms, written as POSCAR:
```
TlIrRu2
1.0
9.1094 0.0000 0.0000
0.0000 2.8654 0.0000
-0.9204 0.0000 4.9877
Tl Ir Ru
2 2 4
Cartesian
0.0000 0.0000 0.0000 Tl
4.5547 1.4327 0.0000 Tl
-0.4602 1.4327 2.4938 Ir
4.0945 0.0000 2.4938 Ir
1.5393 0.0000 3.5558 Ru
2.0950 1.4327 1.4319 Ru
6.0940 1.4327 3.5558 Ru
6.6497 0.0000 1.4319 Ru
```